# Sc3TlCu2

A geometry-optimized Sc3TlCu2 structure (PBE-GGA, the Alexandria database).

- Total moment: 0.0 μB per cell
- Formation energy from the elements: -0.27 eV/atom
- Calculated total energy: -0.382 Ry per atom
- Mass density: 6.67 g cm⁻³
- V: 116.1 Å³ per cell
- Space group: P4/mmm, No. 123
- Crystal system: tetragonal

a b c (Å): 3.3038 3.3038 10.6399
angles (deg): 90.00 90.00 90.00
Closest atoms and distances in Å follow each position.
Element x y z (fractional)
Sc: 0.0000 0.0000 0.0000  8 Cu 2.83
Sc: 0.0000 0.0000 0.3026  4 Cu 2.84, 4 Tl 3.14
Sc: 0.0000 0.0000 0.6974  4 Cu 2.84, 4 Tl 3.14
Tl: 0.5000 0.5000 0.5000  8 Sc 3.14, 4 Tl 3.30
Cu: 0.5000 0.5000 0.1507  8 Sc 2.83-2.84
Cu: 0.5000 0.5000 0.8493  8 Sc 2.83-2.84